# 1
# Ba2LaSnS5

A geometry-optimized Ba2LaSnS5 structure (GGA-PBE, the Alexandria database).

Cell lengths 4.494, 18.267, 12.778 Å; angles 90.00, 90.00, 90.00 degrees
Space group Cmc2_1 (No. 36)
Asymmetric unit:
Ba 0.000 0.113 0.000 (multiplicity 4)
Ba 0.000 0.130 0.630 (multiplicity 4)
La 0.000 0.212 0.335 (multiplicity 4)
Sn 0.000 0.456 0.769 (multiplicity 4)
S 0.000 0.048 0.361 (multiplicity 4)
S 0.000 0.288 0.979 (multiplicity 4)
S 0.000 0.321 0.689 (multiplicity 4)
S 0.000 0.363 0.318 (multiplicity 4)
S 0.000 0.495 0.089 (multiplicity 4)

* E_form (uncorrected): -1.641 eV per atom
* crystal system: orthorhombic
* total DFT energy (no corrections): -5.354 eV/atom

# 2
# Ba2SrLaS

A geometry-optimized Ba2SrLaS structure (GGA-PBE, the Alexandria database).

Cell lengths 6.390, 6.390, 5.659 Å; angles 90.00, 90.00, 90.00 degrees
Space group P4/mmm (No. 123)
Asymmetric unit:
Ba 0.000 0.500 0.000 (multiplicity 2)
Sr 0.000 0.000 0.500 (multiplicity 1)
La 0.500 0.500 0.500 (multiplicity 1)
S 0.500 0.500 0.000 (multiplicity 1)

* E_form (uncorrected): -0.672 eV per atom
* crystal system: tetragonal
* total DFT energy (no corrections): -3.589 eV/atom

# 3
# BaLaTb4S8

A geometry-optimized BaLaTb4S8 structure (GGA-PBE, the Alexandria database).

Cell lengths 8.2758, 8.2758, 20.7568 Å; angles 90.00, 90.00, 120.00 degrees
Space group R3m (No. 160, hexagonal axes)
Asymmetric unit:
Ba 0.0000 0.0000 0.0000 (multiplicity 3)
La 0.0000 0.0000 0.6285 (multiplicity 3)
Tb 0.0000 0.0000 0.2523 (multiplicity 3)
Tb 0.1688 0.3375 0.4598 (multiplicity 9)
S 0.0000 0.0000 0.3841 (multiplicity 3)
S 0.0000 0.0000 0.8589 (multiplicity 3)
S 0.0418 0.5209 0.3867 (multiplicity 9)
S 0.1728 0.3455 0.2048 (multiplicity 9)

* E_form (uncorrected): -1.986 eV per atom
* crystal system: trigonal
* total DFT energy (no corrections): -6.156 eV/atom

# 4
# BaLaTe2S6

A geometry-optimized BaLaTe2S6 structure (GGA-PBE, the Alexandria database).

Cell lengths 6.783, 7.227, 7.821 Å; angles 116.61, 90.58, 117.15 degrees
Space group P1 (No. 1)
Asymmetric unit:
Ba 0.000 0.000 0.000 (multiplicity 1)
La 0.510 0.025 0.541 (multiplicity 1)
Te 0.233 0.442 0.662 (multiplicity 1)
Te 0.714 0.449 0.188 (multiplicity 1)
S 0.071 0.955 0.400 (multiplicity 1)
S 0.417 0.927 0.862 (multiplicity 1)
S 0.430 0.527 0.337 (multiplicity 1)
S 0.560 0.480 0.832 (multiplicity 1)
S 0.820 0.287 0.360 (multiplicity 1)
S 0.957 0.333 0.847 (multiplicity 1)

* E_form (uncorrected): -0.876 eV per atom
* crystal system: triclinic
* total DFT energy (no corrections): -4.666 eV/atom

# 5
# Ba2LaThS6

A geometry-optimized Ba2LaThS6 structure (GGA-PBE, the Alexandria database).

Cell lengths 7.451, 7.819, 12.910 Å; angles 90.00, 124.63, 90.00 degrees
Space group P2_1/c (No. 14)
Asymmetric unit:
Ba 0.222 0.067 0.247 (multiplicity 4)
La 0.000 0.000 0.500 (multiplicity 2)
Th 0.500 0.000 0.000 (multiplicity 2)
S 0.149 0.200 0.944 (multiplicity 4)
S 0.242 0.710 0.938 (multiplicity 4)
S 0.368 0.042 0.754 (multiplicity 4)

* E_form (uncorrected): -1.881 eV per atom
* crystal system: monoclinic
* total DFT energy (no corrections): -5.977 eV/atom

# 6
# BaLa2TiS

A geometry-optimized BaLa2TiS structure (GGA-PBE, the Alexandria database).

Cell lengths 5.790, 5.790, 4.718 Å; angles 90.00, 90.00, 90.00 degrees
Space group P4/mmm (No. 123)
Asymmetric unit:
Ba 0.000 0.000 0.000 (multiplicity 1)
La 0.000 0.500 0.500 (multiplicity 2)
Ti 0.500 0.500 0.000 (multiplicity 1)
S 0.500 0.500 0.500 (multiplicity 1)

* E_form (uncorrected): -0.457 eV per atom
* crystal system: tetragonal
* E above lowest polymorph: 0 meV per atom
* total DFT energy (no corrections): -5.217 eV/atom

# 7
# BaLa2TiS

A geometry-optimized BaLa2TiS structure (GGA-PBE, the Alexandria database).

Cell lengths 5.320, 5.320, 6.016 Å; angles 90.00, 90.00, 90.00 degrees
Space group P4/mmm (No. 123)
Asymmetric unit:
Ba 0.000 0.000 0.000 (multiplicity 1)
La 0.000 0.500 0.500 (multiplicity 2)
Ti 0.000 0.000 0.500 (multiplicity 1)
S 0.500 0.500 0.000 (multiplicity 1)

* E_form (uncorrected): 0.214 eV per atom
* crystal system: tetragonal
* E above lowest polymorph: 671 meV per atom
* total DFT energy (no corrections): -4.546 eV/atom

# 8
# Ba2LaTlS4

A geometry-optimized Ba2LaTlS4 structure (GGA-PBE, the Alexandria database).

Cell lengths 7.550, 4.455, 7.820 Å; angles 90.00, 108.95, 90.00 degrees
Space group P2/m (No. 10)
Asymmetric unit:
Ba 0.000 0.000 0.000 (multiplicity 1)
Ba 0.000 0.500 0.500 (multiplicity 1)
La 0.500 0.000 0.500 (multiplicity 1)
Tl 0.500 0.500 0.000 (multiplicity 1)
S 0.261 0.000 0.724 (multiplicity 2)
S 0.269 0.500 0.273 (multiplicity 2)

* E_form (uncorrected): -1.740 eV per atom
* crystal system: monoclinic
* total DFT energy (no corrections): -5.196 eV/atom

# 9
# Ba2LaTmS4

A geometry-optimized Ba2LaTmS4 structure (GGA-PBE, the Alexandria database).

Cell lengths 7.272, 4.191, 7.543 Å; angles 90.00, 108.62, 90.00 degrees
Space group P2/m (No. 10)
Asymmetric unit:
Ba 0.000 0.000 0.000 (multiplicity 1)
Ba 0.500 0.500 0.000 (multiplicity 1)
La 0.000 0.500 0.500 (multiplicity 1)
Tm 0.500 0.000 0.500 (multiplicity 1)
S 0.253 0.000 0.716 (multiplicity 2)
S 0.276 0.500 0.291 (multiplicity 2)

* E_form (uncorrected): -2.022 eV per atom
* crystal system: monoclinic
* total DFT energy (no corrections): -5.742 eV/atom

# 10
# BaLa2US8

A geometry-optimized BaLa2US8 structure (GGA-PBE, the Alexandria database).

Cell lengths 5.327, 6.830, 8.670 Å; angles 90.18, 107.48, 90.11 degrees
Space group P-1 (No. 2)
Asymmetric unit:
Ba 0.000 0.000 0.000 (multiplicity 1)
La 0.347 0.480 0.693 (multiplicity 2)
U 0.500 0.000 0.500 (multiplicity 1)
S 0.175 0.254 0.357 (multiplicity 2)
S 0.195 0.473 0.001 (multiplicity 2)
S 0.198 0.702 0.393 (multiplicity 2)
S 0.393 0.047 0.765 (multiplicity 2)

* E_form (uncorrected): -1.616 eV per atom
* crystal system: triclinic
* total DFT energy (no corrections): -6.289 eV/atom

# 11
# Ba2LaYS4

A geometry-optimized Ba2LaYS4 structure (GGA-PBE, the Alexandria database).

Cell lengths 7.304, 4.220, 7.561 Å; angles 90.00, 108.76, 90.00 degrees
Space group P2/m (No. 10)
Asymmetric unit:
Ba 0.000 0.000 0.000 (multiplicity 1)
Ba 0.500 0.500 0.000 (multiplicity 1)
La 0.000 0.500 0.500 (multiplicity 1)
Y 0.500 0.000 0.500 (multiplicity 1)
S 0.250 0.000 0.718 (multiplicity 2)
S 0.271 0.500 0.287 (multiplicity 2)

* E_form (uncorrected): -2.044 eV per atom
* crystal system: monoclinic
* total DFT energy (no corrections): -6.012 eV/atom

# 12
# BaLaZnS2

A geometry-optimized BaLaZnS2 structure (GGA-PBE, the Alexandria database).

Cell lengths 5.782, 5.782, 6.334 Å; angles 90.00, 90.00, 90.00 degrees
Space group P4/mmm (No. 123)
Asymmetric unit:
Ba 0.000 0.000 0.000 (multiplicity 1)
La 0.000 0.000 0.500 (multiplicity 1)
Zn 0.500 0.500 0.500 (multiplicity 1)
S 0.000 0.500 0.000 (multiplicity 2)

* E_form (uncorrected): 0.395 eV per atom
* crystal system: tetragonal
* total DFT energy (no corrections): -2.880 eV/atom

In μB/f.u., the magnetization values for the records above are, in order, 0.00; 0.24; 0.00; 0.00; 0.66; 0.78; 0.00; 0.00; 0.00; 0.00; 0.00; 0.97.